Density functional theory data (GGA-PBE) for a geometry-optimized Ti4Co2Ir structure.

Properties
ρ = 7.74 g/cm3
Final energy = -57.254 eV for the cell shown
Energy relative to the elements = -0.372 eV/atom
Space group = No. 139
D(E_F) = 6.3 states/eV/f.u.

abc: 5.189 5.189 5.189
angles: 108.95 109.73 109.73
Element x y z (fractional)
Ti 0.000 0.500 0.000
Ti 0.000 0.000 0.500
Ti 0.500 0.500 0.500
Ti 0.500 0.000 0.000
Co 0.500 0.000 0.500
Co 0.500 0.500 0.000
Ir 0.000 0.000 0.000